1.
Computed, not measured: Li2Fe3BiO8 at its PBEsol-relaxed geometry at the meta-GGA SCAN level of DFT.

a b c (Å): 6.2913 6.2913 6.2913
angles (deg): 53.62 53.62 53.62
Closest atoms and distances in Å follow each position.
Fractional coordinates of all 14 atoms:
Li 0.1010 0.1010 0.1010  3 O 1.84
Li 0.8990 0.8990 0.8990  3 O 1.84
Fe 0.0000 0.5000 0.5000  6 O 1.90-1.92
Fe 0.5000 0.0000 0.5000  6 O 1.90-1.92
Fe 0.5000 0.5000 0.0000  6 O 1.90-1.92
Bi 0.5000 0.5000 0.5000  6 O 2.25
O 0.2421 0.2421 0.7104  1 Li 1.84, 2 Fe 1.90
O 0.2421 0.7104 0.2421  1 Li 1.84, 2 Fe 1.90
O 0.2716 0.2716 0.2716  3 Fe 1.92
O 0.2896 0.7579 0.7579  1 Li 1.84, 2 Fe 1.90
O 0.7104 0.2421 0.2421  1 Li 1.84, 2 Fe 1.90
O 0.7284 0.7284 0.7284  3 Fe 1.92
O 0.7579 0.2896 0.7579  1 Li 1.84, 2 Fe 1.90
O 0.7579 0.7579 0.2896  1 Li 1.84, 2 Fe 1.90

## Properties
ρ: 5.75 g cm⁻³
Space group: No. 166
Formation energy (no corrections): -1.567 eV per atom
Magnetic moment: 3.0 μB per formula unit

---

2.
Computed, not measured: Lu6FeBi2 at its PBEsol-relaxed geometry at the meta-GGA SCAN level of DFT.

a b c (Å): 8.0245 8.0245 4.0261
angles (deg): 90.00 90.00 120.00
Closest atoms and distances in Å follow each position.
Fractional coordinates of all 9 atoms:
Lu 0.0000 0.2291 0.0000  2 Fe 2.73
Lu 0.0000 0.6175 0.5000  1 Fe 3.07, 4 Bi 3.21, 4 Lu 3.35
Lu 0.2291 0.0000 0.0000  2 Fe 2.73
Lu 0.3825 0.3825 0.5000  1 Fe 3.07, 4 Bi 3.21, 4 Lu 3.35
Lu 0.6175 0.0000 0.5000  1 Fe 3.07, 4 Bi 3.21, 4 Lu 3.35
Lu 0.7709 0.7709 0.0000  2 Fe 2.73
Fe 0.0000 0.0000 0.5000  6 Lu 2.73
Bi 0.3333 0.6667 0.0000  9 Lu 3.18-3.21
Bi 0.6667 0.3333 0.0000  9 Lu 3.18-3.21

## Properties
ρ: 11.27 g cm⁻³
Formation energy: -4.21 eV per formula unit
Space group: No. 189
Magnetic moment: 0.8 μB per formula unit

---

3.
Computed, not measured: MgFeBi2Os at its PBEsol-relaxed geometry at the meta-GGA SCAN level of DFT.

a b c (Å): 5.1758 5.1758 4.9468
angles (deg): 90.00 90.00 90.00
Closest atoms and distances in Å follow each position.
Fractional coordinates of all 5 atoms:
Mg 0.0000 0.0000 0.0000  2 Os 2.47
Fe 0.5000 0.5000 0.0000  8 Bi 3.58, 4 Mg 3.66
Bi 0.0000 0.5000 0.5000  2 Os 2.59
Bi 0.5000 0.0000 0.5000  2 Os 2.59
Os 0.0000 0.0000 0.5000  2 Mg 2.47, 4 Bi 2.59

## Properties
ρ: 8.63 g cm⁻³
Formation energy: 4.94 eV per formula unit
Space group: No. 123
Magnetic moment: 3.2 μB per formula unit

---

4.
Computed, not measured: SrMnFeBiO6 at its PBEsol-relaxed geometry at the meta-GGA SCAN level of DFT.

a b c (Å): 5.4275 5.4275 5.4275
angles (deg): 60.37 60.37 60.37
Closest atoms and distances in Å follow each position.
Fractional coordinates of all 10 atoms:
Sr 0.0000 0.0000 0.0000  9 O 2.51-2.78
Mn 0.2518 0.2518 0.2518  6 O 1.90-1.94
Fe 0.7530 0.7530 0.7530  6 O 1.95-1.99
Bi 0.4816 0.4816 0.4816  6 O 2.38-2.44
O 0.0264 0.5421 0.4606  1 Mn 1.94, 1 Fe 1.95
O 0.0665 0.4993 0.9512  1 Mn 1.90, 1 Fe 1.99
O 0.4606 0.0264 0.5421  1 Mn 1.94, 1 Fe 1.95
O 0.4993 0.9512 0.0665  1 Mn 1.90, 1 Fe 1.99
O 0.5421 0.4606 0.0264  1 Mn 1.94, 1 Fe 1.95
O 0.9512 0.0665 0.4993  1 Mn 1.90, 1 Fe 1.99

## Properties
ρ: 7.33 g cm⁻³
Space group: No. 146
Formation energy (no corrections): -2.056 eV per atom
Magnetic moment: 8.0 μB per formula unit